Na2UCo2O6: optimized geometry, PBE+U.

Values from the calculation:
Crystal system   monoclinic
Space-group type   C2/m (12)
E_tot   -6.795 eV/atom

Cell: 5.274 5.274 6.150 Å, 102.10 102.10 115.84°
Element x y z (fractional)
Na  0.178  0.822  0.000
Na  0.822  0.178  0.000
U  0.000  0.000  0.500
Co  0.337  0.663  0.500
Co  0.663  0.337  0.500
O  0.035  0.386  0.706
O  0.268  0.268  0.316
O  0.386  0.035  0.706
O  0.614  0.965  0.294
O  0.732  0.732  0.684
O  0.965  0.614  0.294